The following is a PBE calculation of PRhBr2 after structural relaxation, from Alexandria via LeMat-Bulk.

Unit cell a=8.220 b=8.220 c=3.662 alpha=91.02 beta=91.02 gamma=22.55
Element x y z (fractional)
P 0.750 0.750 0.750
Br 0.604 0.604 0.499
Br 0.896 0.896 0.001
Rh 0.250 0.250 0.250

Computed properties:
E_form (uncorrected)   0.0596 eV/atom

The following is a PBE calculation of HoTiSi2O8 after structural relaxation, from Alexandria via LeMat-Bulk.

Unit cell a=5.612 b=5.612 c=5.612 alpha=106.71 beta=106.71 gamma=115.15
Element x y z (fractional)
Ho 0.000 0.000 0.000
Si 0.500 0.500 0.000
O 0.332 0.137 0.805
O 0.937 0.613 0.676
Si 0.750 0.250 0.500
O 0.332 0.527 0.195
O 0.739 0.063 0.676
O 0.387 0.063 0.324
Ti 0.250 0.750 0.500
O 0.863 0.668 0.195
O 0.473 0.668 0.805
O 0.937 0.261 0.324

Computed properties:
E_form (uncorrected)   -2.7251 eV/atom

The following is a PBE calculation of Sr2HO after structural relaxation, from Alexandria via LeMat-Bulk.

Unit cell a=4.549 b=4.549 c=4.549 alpha=60.00 beta=60.00 gamma=60.00
Element x y z (fractional)
O 0.500 0.500 0.500
Sr 0.250 0.250 0.250
Sr 0.750 0.750 0.750
H 0.000 0.000 0.000

Computed properties:
Electronic total energy   -3.869 eV/atom

The following is a PBE calculation of CuMo2Pb after structural relaxation, from Alexandria via LeMat-Bulk.

Unit cell a=3.422 b=4.320 c=4.594 alpha=90.00 beta=90.00 gamma=90.00
Element x y z (fractional)
Mo 0.000 0.000 0.000
Mo 0.500 0.500 0.000
Pb 0.500 0.000 0.500
Cu 0.000 0.500 0.500

Computed properties:
ΔH_f (0 K)   0.5700 eV/atom

Calculated values (A^3/atom) of calculated volume for the records, taken in order: 23.72, 11.25, 16.64, 16.98.
Calculated values (g cm⁻³) of density for the records, taken in order: 5.140, 4.881, 4.795, 11.311.